No. 1
Density functional theory data (PBE) for crystalline Sb3H5Rh12 at its relaxed geometry.

```
data_Sb3H5Rh12
_chemical_formula_sum 'Sb24 H40 Rh96'
_cell_length_a 12.7737
_cell_length_b 12.7737
_cell_length_c 12.7737
_cell_angle_alpha 90.00
_cell_angle_beta 90.00
_cell_angle_gamma 90.00
_space_group_name_H-M_alt 'I a -3 d'
_space_group_IT_number 230
_space_group_name_Hall '-I 4bd 2c 3'
loop_
_atom_site_label
_atom_site_type_symbol
_atom_site_fract_x
_atom_site_fract_y
_atom_site_fract_z
Sb1 Sb 0.0000 0.2500 0.1250
H1 H 0.0000 0.0000 0.0000
H2 H 0.0000 0.2500 0.3750
Rh1 Rh 0.0423 0.0487 0.6450
```

E_tot in eV/atom: -5.9046
Calculated volume in Å³/cell: 2084.3
Theoretical density in g/cm3: 10.23

***

No. 2
Density functional theory data (PBE) for crystalline SbHRh2 at its relaxed geometry.

```
data_SbHRh2
_chemical_formula_sum 'Sb4 H4 Rh8'
_cell_length_a 5.5825
_cell_length_b 3.6891
_cell_length_c 10.3753
_cell_angle_alpha 90.00
_cell_angle_beta 90.00
_cell_angle_gamma 90.00
_space_group_name_H-M_alt 'P n m a'
_space_group_IT_number 62
loop_
_space_group_symop_operation_xyz
'x,y,z'
'-x,-y,-z'
'-x+1/2,-y,z+1/2'
'x+1/2,y,-z+1/2'
'x+1/2,-y+1/2,-z+1/2'
'-x+1/2,y+1/2,z+1/2'
'-x,y+1/2,-z'
'x,-y+1/2,z'
loop_
_atom_site_label
_atom_site_type_symbol
_atom_site_fract_x
_atom_site_fract_y
_atom_site_fract_z
Sb1 Sb 0.1520 0.2500 0.1057
H1 H 0.1522 0.7500 0.3622
Rh1 Rh 0.1231 0.2500 0.7347
Rh2 Rh 0.1809 0.2500 0.4353
```

E_tot in eV/atom: -5.7731
E above lowest polymorph in meV/atom: 0
Calculated volume in Å³/cell: 213.7
Theoretical density in g/cm3: 10.21

***

No. 3
Density functional theory data (PBE) for crystalline SbHRh3 at its relaxed geometry.

```
data_SbHRh3
_chemical_formula_sum 'Sb3 H3 Rh9'
_cell_length_a 5.2826
_cell_length_b 5.2826
_cell_length_c 12.8899
_cell_angle_alpha 90.00
_cell_angle_beta 90.00
_cell_angle_gamma 120.00
_space_group_name_H-M_alt 'R 3 m'
_space_group_IT_number 160
_space_group_name_Hall 'R 3 -2"'
loop_
_atom_site_label
_atom_site_type_symbol
_atom_site_fract_x
_atom_site_fract_y
_atom_site_fract_z
Sb1 Sb 0.0000 0.0000 0.0000
H1 H 0.0000 0.0000 0.7587
Rh1 Rh 0.1693 0.3386 0.8355
```

E_tot in eV/atom: -5.3944
E above lowest polymorph in meV/atom: 791
Calculated volume in Å³/cell: 311.5
Theoretical density in g/cm3: 6.90

***

The lowest E_tot belongs to which entry? Sb3H5Rh12